Entry 1:
Below is a relaxed LiBi2Pt2 crystal, with properties calculated at the PBE level.

Calculated values
calculated volume	21.7	Å³/atom
raw total energy	-4.628	eV/atom
total moment	0.0	μB/f.u.
SG	P4/mbm

The structure in POSCAR format:
```
LiBi2Pt2
1.0
7.5282 0.0000 0.0000
0.0000 7.5282 0.0000
0.0000 0.0000 3.8348
Bi Pt Li
4 4 2
direct
0.1687 0.6687 0.5000 Bi
0.6687 0.8313 0.5000 Bi
0.8313 0.3313 0.5000 Bi
0.3313 0.1687 0.5000 Bi
0.3644 0.8644 0.0000 Pt
0.8644 0.6356 0.0000 Pt
0.6356 0.1356 0.0000 Pt
0.1356 0.3644 0.0000 Pt
0.0000 0.0000 0.0000 Li
0.5000 0.5000 0.0000 Li
```


Entry 2:
Below is a relaxed Sm5Tl2Ir2 crystal, with properties calculated at the PBE level.

Calculated values
calculated volume	27.9	Å³/atom
raw total energy	-5.645	eV/atom
total moment	0.0	μB/f.u.
SG	Cmce

The structure in POSCAR format:
```
Sm5Tl2Ir2
1.0
-4.0746 6.5213 1.5988
-3.5199 -0.5188 -6.8544
-4.2238 -4.3176 6.8463
Sm Tl Ir
10 4 4
direct
0.0000 0.0000 0.0000 Sm
0.5000 0.5000 0.0000 Sm
0.8323 0.7840 0.2305 Sm
0.1677 0.4465 0.2305 Sm
0.3323 0.9465 0.2305 Sm
0.6677 0.2840 0.2305 Sm
0.1677 0.2160 0.7695 Sm
0.8323 0.5535 0.7695 Sm
0.6677 0.0535 0.7695 Sm
0.3323 0.7160 0.7695 Sm
0.0000 0.2189 0.4379 Tl
0.5000 0.7189 0.4379 Tl
0.0000 0.7811 0.5621 Tl
0.5000 0.2811 0.5621 Tl
0.6330 0.8687 0.0000 Ir
0.3670 0.1313 0.0000 Ir
0.1330 0.6313 0.0000 Ir
0.8670 0.3687 0.0000 Ir
```